This record from Alexandria describes an optimized crystal structure of Pm2AlPd2Pt5. The functional is PBE.

Computed properties:
Final energy: -6.194 eV/atom
Energy of formation: -0.81 eV per atom
Magnetization: 0.00 μB/cell

Unit cell a=9.5400 b=9.5400 c=4.0696 alpha=90.00 beta=90.00 gamma=90.00
Space group P4/mbm (No. 127)
Asymmetric unit:
Pm  0.1706  0.3294  0.0000 (multiplicity 4)
Al  0.0000  0.0000  0.0000 (multiplicity 2)
Pd  0.1294  0.6294  0.0000 (multiplicity 4)
Pt  0.0000  0.5000  0.5000 (multiplicity 2)
Pt  0.0556  0.8023  0.5000 (multiplicity 8)